Computed, not measured: crystalline KInPd at its relaxed geometry at the PBE level of DFT.

It has space group F-43m (No. 216), with a = 7.3085 Å, b = 7.3085 Å, c = 7.3085 Å, α = 90.00°, β = 90.00° and γ = 90.00°. The inequivalent atoms are K at (0.0000, 0.0000, 0.0000), In at (0.2500, 0.2500, 0.7500) and Pd at (0.2500, 0.2500, 0.2500).

As for the crystal system: cubic. As for the final energy: -29.4 eV per cell.

***

Computed, not measured: crystalline LuCuPt at its relaxed geometry at the PBE level of DFT.

It has space group F-43m (No. 216), with a = 6.2914 Å, b = 6.2914 Å, c = 6.2914 Å, α = 90.00°, β = 90.00° and γ = 90.00°. The inequivalent atoms are Lu at (0.0000, 0.0000, 0.0000), Cu at (0.0000, 0.0000, 0.5000) and Pt at (0.2500, 0.2500, 0.7500).

As for the crystal system: cubic. For the energy relative to the lowest polymorph listed for this composition, the calculation gives 0.000 eV per atom. As for the energy of formation from the pure elements: -656 meV per atom.

***

Computed, not measured: crystalline RbTe4OsAu3 at its relaxed geometry at the PBE level of DFT.

It has space group P-43m (No. 215), with a = 6.8260 Å, b = 6.8260 Å, c = 6.8260 Å, α = 90.00°, β = 90.00° and γ = 90.00°. The inequivalent atoms are Rb at (0.0000, 0.0000, 0.0000), Te at (0.2863, 0.2863, 0.2863), Os at (0.5000, 0.5000, 0.5000) and Au at (0.0000, 0.5000, 0.5000).

As for the crystal system: cubic. As for the final energy: -34.0 eV per cell.

***

Computed, not measured: crystalline BeCuAsAu at its relaxed geometry at the PBE level of DFT.

It has space group F-43m (No. 216), with a = 6.1692 Å, b = 6.1692 Å, c = 6.1692 Å, α = 90.00°, β = 90.00° and γ = 90.00°. The inequivalent atoms are Be at (0.0000, 0.0000, 0.0000), Cu at (0.0000, 0.0000, 0.5000), As at (0.2500, 0.2500, 0.2500) and Au at (0.2500, 0.2500, 0.7500).

As for the crystal system: cubic. For the energy relative to the lowest polymorph listed for this composition, the calculation gives 0.000 eV per atom.

***

Computed, not measured: crystalline NbGaHg2 at its relaxed geometry at the PBE level of DFT.

It has space group F-43m (No. 216), with a = 6.8480 Å, b = 6.8480 Å, c = 6.8480 Å, α = 90.00°, β = 90.00° and γ = 90.00°. The inequivalent atoms are Nb at (0.0000, 0.0000, 0.0000), Ga at (0.2500, 0.2500, 0.7500), Hg at (0.0000, 0.0000, 0.5000) and Hg at (0.2500, 0.2500, 0.2500).

As for the crystal system: cubic. As for the final energy: -47.5 eV per cell.

***

Computed, not measured: crystalline HoEr2TmCd2 at its relaxed geometry at the PBE level of DFT.

It has space group Amm2 (No. 38), with a = 5.3262 Å, b = 3.6146 Å, c = 16.8506 Å, α = 90.00°, β = 90.00° and γ = 90.00°. The inequivalent atoms are Ho at (0.0000, 0.0000, 0.0000), Er at (0.0000, 0.0000, 0.6854), Er at (0.5000, 0.0000, 0.1352), Tm at (0.5000, 0.0000, 0.8199), Cd at (0.0000, 0.0000, 0.3424) and Cd at (0.5000, 0.0000, 0.4766).

As for the crystal system: orthorhombic. As for the energy of formation from the pure elements: -220 meV per atom.

***

Computed, not measured: crystalline PrNd3Al4 at its relaxed geometry at the PBE level of DFT.

It has space group Pm (No. 6), with a = 6.0171 Å, b = 5.7353 Å, c = 6.0177 Å, α = 90.00°, β = 100.83° and γ = 90.00°. The inequivalent atoms are Pr at (0.0000, 0.0000, 0.0000), Nd at (0.3187, 0.5000, 0.3193), Nd at (0.3596, 0.0000, 0.6409), Nd at (0.6777, 0.5000, 0.9594), Al at (0.1431, 0.5000, 0.7833), Al at (0.5352, 0.0000, 0.1766) and Al at (0.8387, 0.2501, 0.4798).

As for the crystal system: monoclinic. As for the final energy: -37.2 eV per cell.

***

Computed, not measured: crystalline LiHfNbOs at its relaxed geometry at the PBE level of DFT.

It has space group F-43m (No. 216), with a = 6.3692 Å, b = 6.3692 Å, c = 6.3692 Å, α = 90.00°, β = 90.00° and γ = 90.00°. The inequivalent atoms are Li at (0.0000, 0.0000, 0.0000), Hf at (0.2500, 0.2500, 0.2500), Nb at (0.0000, 0.0000, 0.5000) and Os at (0.2500, 0.2500, 0.7500).

As for the crystal system: cubic. For the energy relative to the lowest polymorph listed for this composition, the calculation gives 0.242 eV per atom.

***

Computed, not measured: crystalline BaErSi2 at its relaxed geometry at the PBE level of DFT.

It has space group Amm2 (No. 38), with a = 3.9246 Å, b = 4.4244 Å, c = 12.7079 Å, α = 90.00°, β = 90.00° and γ = 90.00°. The inequivalent atoms are Ba at (0.0000, 0.0000, 0.0000), Er at (0.5000, 0.0000, 0.2651), Si at (0.0000, 0.0000, 0.7322) and Si at (0.5000, 0.0000, 0.6143).

As for the crystal system: orthorhombic. As for the final energy: -38.3 eV per cell.

***

Computed, not measured: crystalline AlCo2W at its relaxed geometry at the PBE level of DFT.

It has space group F-43m (No. 216), with a = 5.8641 Å, b = 5.8641 Å, c = 5.8641 Å, α = 90.00°, β = 90.00° and γ = 90.00°. The inequivalent atoms are Al at (0.0000, 0.0000, 0.0000), Co at (0.0000, 0.0000, 0.5000), Co at (0.2500, 0.2500, 0.7500) and W at (0.2500, 0.2500, 0.2500).

As for the crystal system: cubic. As for the final energy: -122.3 eV per cell.

***

Computed, not measured: crystalline Sm3AlC at its relaxed geometry at the PBE level of DFT.

It has space group Imma (No. 74), with a = 7.0919 Å, b = 10.0162 Å, c = 7.0771 Å, α = 90.00°, β = 90.00° and γ = 90.00°. The inequivalent atoms are Sm at (0.0000, 0.2500, 0.0326), Sm at (0.2500, 0.0166, 0.7500), Al at (0.0000, 0.2500, 0.5016) and C at (0.0000, 0.0000, 0.0000).

As for the crystal system: orthorhombic. As for the final energy: -113.6 eV per cell.

***

Computed, not measured: crystalline Hf3GeB at its relaxed geometry at the PBE level of DFT.

It has space group Cmcm (No. 63), with a = 3.5711 Å, b = 10.9771 Å, c = 8.9918 Å, α = 90.00°, β = 90.00° and γ = 90.00°. The inequivalent atoms are Hf at (0.0000, 0.0549, 0.2500), Hf at (0.0000, 0.3645, 0.0495), Ge at (0.0000, 0.2465, 0.7500) and B at (0.0000, 0.0000, 0.0000).

As for the crystal system: orthorhombic. As for the final energy: -177.1 eV per cell.

***

Computed, not measured: crystalline NbBiIr2 at its relaxed geometry at the PBE level of DFT.

It has space group F-43m (No. 216), with a = 6.5786 Å, b = 6.5786 Å, c = 6.5786 Å, α = 90.00°, β = 90.00° and γ = 90.00°. The inequivalent atoms are Nb at (0.0000, 0.0000, 0.0000), Bi at (0.2500, 0.2500, 0.7500), Ir at (0.0000, 0.0000, 0.5000) and Ir at (0.2500, 0.2500, 0.2500).

As for the crystal system: cubic. As for the final energy: -122.6 eV per cell.

***

Calculated values (g/cm3) of mass density for the records, taken in order: 4.43; 11.57; 7.19; 9.74; 11.66; 9.14; 5.55; 12.05; 5.43; 10.83; 6.48; 11.66; 16.01.